# PBE with a Hubbard U LiCoPt3O6, relaxed
data_LiCoPt3O6
_chemical_formula_sum 'Li1 Co1 Pt3 O6'
_cell_length_a 6.4504
_cell_length_b 3.0381
_cell_length_c 6.7597
_cell_angle_alpha 90.00
_cell_angle_beta 93.74
_cell_angle_gamma 90.00
_symmetry_space_group_name_H-M 'P 1 m 1'
_symmetry_Int_Tables_number 6
loop_
_symmetry_equiv_pos_as_xyz
'x,y,z'
'x,-y,z'
loop_
_atom_site_label
_atom_site_type_symbol
_atom_site_fract_x
_atom_site_fract_y
_atom_site_fract_z
_atom_site_occupancy
Li1 Li 0.0000 0.0000 0.0000 1
Co1 Co 0.7694 0.5000 0.2910 1
Pt1 Pt 0.2592 0.5000 0.7466 1
Pt2 Pt 0.2768 0.0000 0.2639 1
Pt3 Pt 0.7461 0.0000 0.7312 1
O1 O 0.2089 0.5000 0.0495 1
O2 O 0.3301 0.5000 0.4604 1
O3 O 0.5660 0.5000 0.8108 1
O4 O 0.5882 0.0000 0.2540 1
O5 O 0.9418 0.5000 0.6713 1
O6 O 0.9593 0.0000 0.2744 1
# - DOS at the Fermi energy (states/eV per atom) = 0.3743
# - total energy (eV/atom) = -5.637
# - calculated volume (Å³ per atom) = 12.0